First-principles (GGA-PBEsol) data for a relaxed LaAg2 crystal, as listed in the Alexandria database.

Summary:
Total magnetic moment in μB/cell: 0.001
Total DFT energy (no corrections) in eV for the cell shown: -25.630
Density of states at the Fermi level in states/eV per cell: 4.642
Crystal system: orthorhombic
E_form in kJ/mol of formula units: -82

Lattice parameters (Å, degrees): 5.9190 5.9190 5.9190 132.44 105.65 93.18
Closest atoms and distances in Å follow each position.
Positions (direct):
La  0.2859  0.0359  0.2500  12 Ag 3.21-3.36
La  0.7141  0.9641  0.7500  12 Ag 3.21-3.36
Ag  0.1222  0.6654  0.4569  4 Ag 2.76-2.96
Ag  0.2915  0.3346  0.9569  4 Ag 2.76-2.96
Ag  0.7085  0.6654  0.0431  4 Ag 2.76-2.96
Ag  0.8778  0.3346  0.5431  4 Ag 2.76-2.96